(1)
This record from Alexandria via LeMat-Bulk describes crystalline HfFeTe2S at its relaxed geometry. The functional is PBEsol.

Summary:
total energy	-5.8090	eV/atom

abc: 4.7253 4.7253 4.8988
angles: 90.00 90.00 90.00
With the nearest neighbours (Å) after each atom.
Positions (direct):
Hf 0.0000 0.0000 0.0000  2 Fe 2.45
Fe 0.0000 0.0000 0.5000  4 Te 2.36, 2 Hf 2.45
Te 0.0000 0.5000 0.5000  2 Fe 2.36
Te 0.5000 0.0000 0.5000  2 Fe 2.36
S 0.5000 0.5000 0.0000  4 Hf 3.34, 8 Te 3.40

---

(2)
This record from Alexandria via LeMat-Bulk describes crystalline SrHg2W at its relaxed geometry. The functional is PBEsol.

Summary:
calculated formation energy	0.649	eV/atom
distance to the lowest polymorph of the same formula	90	meV per atom

abc: 6.1938 6.1938 6.1938
angles: 151.06 129.71 59.07
With the nearest neighbours (Å) after each atom.
Positions (direct):
Sr 0.0000 0.0000 0.0000  6 Hg 3.06-3.30, 2 Sr 3.09, 2 W 3.22
Hg 0.4803 0.4803 0.0000  2 W 2.81, 4 Sr 3.06, 4 Hg 3.09-3.10
Hg 0.7295 0.2295 0.5000  4 W 3.07, 4 Hg 3.09-3.10, 2 Sr 3.30
W 0.2622 0.7622 0.5000  6 Hg 2.81-3.07, 2 W 3.09

---

(3)
This record from Alexandria via LeMat-Bulk describes crystalline BeZnTeI2 at its relaxed geometry. The functional is PBEsol.

Summary:
total energy	-2.2133	eV/atom

abc: 5.1080 5.1080 5.1065
angles: 90.00 90.00 90.00
With the nearest neighbours (Å) after each atom.
Positions (direct):
Be 0.0000 0.0000 0.0000  2 Te 2.55, 4 I 2.55
Zn 0.5000 0.5000 0.5000  8 I 3.61, 4 Te 3.61
Te 0.0000 0.0000 0.5000  2 Be 2.55
I 0.0000 0.5000 0.0000  2 Be 2.55
I 0.5000 0.0000 0.0000  2 Be 2.55

---

(4)
This record from Alexandria via LeMat-Bulk describes crystalline PtAu at its relaxed geometry. The functional is PBEsol.

Summary:
calculated formation energy	0.086	eV/atom

abc: 5.3657 5.3657 4.8991
angles: 114.53 114.53 30.14
With the nearest neighbours (Å) after each atom.
Positions (direct):
Pt 0.1297 0.1297 0.4677  5 Pt 2.75-2.84, 7 Au 2.80-2.90
Pt 0.8703 0.8703 0.5323  5 Pt 2.75-2.84, 7 Au 2.80-2.90
Au 0.3778 0.3778 0.0439  5 Au 2.75-2.86, 7 Pt 2.80-2.90
Au 0.6222 0.6222 0.9561  5 Au 2.75-2.86, 7 Pt 2.80-2.90

---

(5)
This record from Alexandria via LeMat-Bulk describes crystalline TaSi2Tc at its relaxed geometry. The functional is PBEsol.

Summary:
distance to the lowest polymorph of the same formula	130	meV per atom

abc: 2.9462 2.9462 6.4313
angles: 90.00 90.00 90.00
With the nearest neighbours (Å) after each atom.
Positions (direct):
Ta 0.0000 0.0000 0.0000  8 Si 2.78, 4 Ta 2.95
Si 0.5000 0.5000 0.2854  4 Tc 2.50, 1 Si 2.76, 4 Ta 2.78
Si 0.5000 0.5000 0.7146  4 Tc 2.50, 1 Si 2.76, 4 Ta 2.78
Tc 0.0000 0.0000 0.5000  8 Si 2.50

---

(6)
This record from Alexandria via LeMat-Bulk describes crystalline SiBC3 at its relaxed geometry. The functional is PBEsol.

Summary:
total energy	-5.5391	eV/atom

abc: 3.6908 3.6908 3.6908
angles: 90.00 90.00 90.00
With the nearest neighbours (Å) after each atom.
Positions (direct):
Si 0.0000 0.0000 0.0000  6 C 1.85
B 0.5000 0.5000 0.5000  12 C 2.61
C 0.0000 0.0000 0.5000  2 Si 1.85
C 0.0000 0.5000 0.0000  2 Si 1.85
C 0.5000 0.0000 0.0000  2 Si 1.85

---

(7)
This record from Alexandria via LeMat-Bulk describes crystalline InRh3 at its relaxed geometry. The functional is PBEsol.

Summary:
calculated formation energy	-0.122	eV/atom

abc: 4.7255 4.7255 4.7565
angles: 100.33 100.33 34.65
With the nearest neighbours (Å) after each atom.
Positions (direct):
In 0.0000 0.0000 0.0000  10 Rh 2.76-2.78, 2 In 2.81
Rh 0.2471 0.2471 0.7333  9 Rh 2.64-2.89, 3 In 2.76-2.78
Rh 0.5000 0.5000 0.5000  8 Rh 2.69-2.81, 4 In 2.76
Rh 0.7529 0.7529 0.2667  9 Rh 2.64-2.89, 3 In 2.76-2.78

---

(8)
This record from Alexandria via LeMat-Bulk describes crystalline Sr2CaAg2 at its relaxed geometry. The functional is PBEsol.

Summary:
calculated formation energy	0.122	eV/atom
distance to the lowest polymorph of the same formula	366	meV per atom

abc: 6.8805 6.8805 6.8805
angles: 131.44 131.44 71.11
With the nearest neighbours (Å) after each atom.
Positions (direct):
Sr 0.1579 0.1579 0.0000  4 Ag 3.01
Sr 0.8421 0.8421 0.0000  4 Ag 3.01
Ca 0.5000 0.5000 0.0000  2 Sr 3.83, 8 Ag 3.98
Ag 0.2500 0.7500 0.5000  4 Sr 3.01
Ag 0.7500 0.2500 0.5000  4 Sr 3.01

---

(9)
This record from Alexandria via LeMat-Bulk describes crystalline HfIn2ReRu at its relaxed geometry. The functional is PBEsol.

Summary:
calculated formation energy	1.254	eV/atom

abc: 5.0100 5.0100 4.5889
angles: 90.00 90.00 90.00
With the nearest neighbours (Å) after each atom.
Positions (direct):
Hf 0.0000 0.0000 0.0000  8 In 3.40, 4 Ru 3.54
In 0.0000 0.5000 0.5000  2 Re 2.50
In 0.5000 0.0000 0.5000  2 Re 2.50
Re 0.5000 0.5000 0.5000  2 Ru 2.29, 4 In 2.50
Ru 0.5000 0.5000 0.0000  2 Re 2.29

---

(10)
This record from Alexandria via LeMat-Bulk describes crystalline ScFeAsBr2 at its relaxed geometry. The functional is PBEsol.

Summary:
distance to the lowest polymorph of the same formula	0	meV per atom

abc: 4.6825 4.6825 4.8406
angles: 90.00 90.00 90.00
With the nearest neighbours (Å) after each atom.
Positions (direct):
Sc 0.0000 0.0000 0.0000  4 As 3.31, 8 Br 3.37
Fe 0.5000 0.5000 0.5000  4 Br 2.34, 2 As 2.42
As 0.5000 0.5000 0.0000  2 Fe 2.42
Br 0.0000 0.5000 0.5000  2 Fe 2.34
Br 0.5000 0.0000 0.5000  2 Fe 2.34

---

(11)
This record from Alexandria via LeMat-Bulk describes crystalline Cu2As2O7 at its relaxed geometry. The functional is PBEsol.

Summary:
distance to the lowest polymorph of the same formula	0	meV per atom

abc: 5.5398 5.5398 9.8461
angles: 104.57 104.57 95.71
With the nearest neighbours (Å) after each atom.
Positions (direct):
Cu 0.1353 0.2703 0.4884  4 O 1.89-1.97
Cu 0.2703 0.1353 0.9884  4 O 1.89-1.97
Cu 0.7297 0.8647 0.0116  4 O 1.89-1.97
Cu 0.8647 0.7297 0.5116  4 O 1.89-1.97
As 0.0256 0.4981 0.2059  4 O 1.68-1.77
As 0.4981 0.0256 0.7059  4 O 1.68-1.77
As 0.5019 0.9744 0.2941  4 O 1.68-1.77
As 0.9744 0.5019 0.7941  4 O 1.68-1.77
O 0.0226 0.5197 0.6297  1 As 1.73
O 0.0417 0.2039 0.1051  1 As 1.71
O 0.2039 0.0417 0.6051  1 As 1.71
O 0.2059 0.3779 0.8844  1 As 1.68
O 0.3397 0.6603 0.2500  2 As 1.77
O 0.3779 0.2059 0.3844  1 As 1.68
O 0.4803 0.9774 0.8703  1 As 1.73
O 0.5197 0.0226 0.1297  1 As 1.73
O 0.6221 0.7941 0.6156  1 As 1.68
O 0.6603 0.3397 0.7500  2 As 1.77
O 0.7941 0.6221 0.1156  1 As 1.68
O 0.7961 0.9583 0.3949  1 As 1.71
O 0.9583 0.7961 0.8949  1 As 1.71
O 0.9774 0.4803 0.3703  1 As 1.73

---

(12)
This record from Alexandria via LeMat-Bulk describes crystalline SiSb2PI at its relaxed geometry. The functional is PBEsol.

Summary:
total energy	-3.5300	eV/atom

abc: 5.2197 5.2197 5.0425
angles: 90.00 90.00 90.00
With the nearest neighbours (Å) after each atom.
Positions (direct):
Si 0.0000 0.0000 0.0000  2 I 2.52, 4 Sb 2.61
Sb 0.0000 0.5000 0.0000  2 Si 2.61
Sb 0.5000 0.0000 0.0000  2 Si 2.61
P 0.5000 0.5000 0.5000  8 Sb 3.63, 4 I 3.69
I 0.0000 0.0000 0.5000  2 Si 2.52